1.
Density functional theory data (PBE-GGA) for SrTcOF2 after structural relaxation.

abc: 4.4217 4.4217 3.8991
angles: 90.00 90.00 90.00
Last column: nearest neighbours and their distance in Å.
Fractional coordinates of all 5 atoms:
Sr  0.0000  0.0000  0.0000  8 F 2.95, 4 O 3.13
Tc  0.5000  0.5000  0.5000  2 O 1.95
O  0.5000  0.5000  0.0000  2 Tc 1.95
F  0.0000  0.5000  0.5000  2 Tc 2.21
F  0.5000  0.0000  0.5000  2 Tc 2.21

Calculated values
As for the energy relative to the lowest polymorph listed for this composition: 0 meV per atom. The space-group type is No. 123. As for the density: 5.22 Mg/m³. Its uncorrected formation energy is -1.841 eV per atom. The calculation puts the total energy at -29.96 eV per formula unit.

---

2.
Density functional theory data (PBE-GGA) for SrTcO4F after structural relaxation.

abc: 6.4080 6.4080 7.4449
angles: 102.65 102.65 77.30
Last column: nearest neighbours and their distance in Å.
Fractional coordinates of all 14 atoms:
Sr  0.1902  0.1902  0.1213  2 F 2.32-2.33
Sr  0.8098  0.8098  0.8787  2 F 2.32-2.33
Tc  0.3523  0.3523  0.7309  4 O 1.73-1.75
Tc  0.6477  0.6477  0.2691  4 O 1.73-1.75
O  0.1301  0.4824  0.8388  1 Tc 1.75
O  0.2700  0.2700  0.4931  1 Tc 1.73
O  0.4690  0.4690  0.2342  1 Tc 1.73
O  0.4824  0.1301  0.8388  1 Tc 1.75
O  0.5176  0.8699  0.1612  1 Tc 1.75
O  0.5310  0.5310  0.7658  1 Tc 1.73
O  0.7300  0.7300  0.5069  1 Tc 1.73
O  0.8699  0.5176  0.1612  1 Tc 1.75
F  0.0281  0.0281  0.8269  2 Sr 2.32-2.33
F  0.9719  0.9719  0.1731  2 Sr 2.32-2.33

Calculated values
The space-group type is No. 12. As for the density: 3.12 Mg/m³. Its uncorrected formation energy is -2.205 eV per atom. The calculation puts the total energy at -49.19 eV per formula unit.

---

3.
Density functional theory data (PBE-GGA) for Sr3TcO6F2 after structural relaxation.

abc: 6.9307 6.9307 5.1402
angles: 90.53 90.53 60.10
Last column: nearest neighbours and their distance in Å.
Fractional coordinates of all 12 atoms:
Sr  0.0000  0.0000  0.0000  2 F 2.39, 4 O 2.64
Sr  0.0000  0.5000  0.5000  2 F 2.40, 4 O 2.43-2.54
Sr  0.5000  0.0000  0.5000  2 F 2.40, 4 O 2.43-2.54
Tc  0.5000  0.5000  0.5000  6 O 1.88-1.92
O  0.2379  0.6427  0.7113  1 Tc 1.92
O  0.3573  0.7621  0.2887  1 Tc 1.92
O  0.3654  0.3654  0.3083  1 Tc 1.88
O  0.6346  0.6346  0.6917  1 Tc 1.88
O  0.6427  0.2379  0.7113  1 Tc 1.92
O  0.7621  0.3573  0.2887  1 Tc 1.92
F  0.1688  0.1688  0.7578  3 Sr 2.39-2.40
F  0.8312  0.8312  0.2422  3 Sr 2.39-2.40

Calculated values
The space-group type is No. 12. As for the density: 3.84 Mg/m³. Its uncorrected formation energy is -2.276 eV per atom. The calculation puts the total energy at -76.21 eV per formula unit.

---

4.
Density functional theory data (PBE-GGA) for Sr2TcO4F after structural relaxation.

abc: 10.0647 3.3773 7.5152
angles: 90.00 114.78 90.00
Last column: nearest neighbours and their distance in Å.
Fractional coordinates of all 16 atoms:
Sr  0.1704  0.0000  0.2304  2 F 2.51, 5 O 2.53-2.59
Sr  0.3296  0.5000  0.7696  2 F 2.51, 5 O 2.53-2.59
Sr  0.6704  0.5000  0.2304  2 F 2.51, 5 O 2.53-2.59
Sr  0.8296  0.0000  0.7696  2 F 2.51, 5 O 2.53-2.59
Tc  0.0000  0.0000  0.5000  2 O 1.83
Tc  0.5000  0.5000  0.5000  2 O 1.83
O  0.1050  0.5000  0.4433  2 Tc 2.13
O  0.1378  0.0000  0.7539  1 Tc 1.83
O  0.3622  0.5000  0.2461  1 Tc 1.83
O  0.3950  0.0000  0.5567  2 Tc 2.13
O  0.6050  0.0000  0.4433  2 Tc 2.13
O  0.6378  0.5000  0.7539  1 Tc 1.83
O  0.8622  0.0000  0.2461  1 Tc 1.83
O  0.8950  0.5000  0.5567  2 Tc 2.13
F  0.0000  0.5000  0.0000  4 Sr 2.51
F  0.5000  0.0000  0.0000  4 Sr 2.51

Calculated values
The space-group type is No. 12. As for the density: 5.10 Mg/m³. Its uncorrected formation energy is -2.394 eV per atom. The calculation puts the total energy at -54.59 eV per formula unit.

---

5.
Density functional theory data (PBE-GGA) for SrTcOF2 after structural relaxation.

abc: 4.4936 4.4936 4.9215
angles: 90.00 90.00 90.00
Last column: nearest neighbours and their distance in Å.
Fractional coordinates of all 5 atoms:
Sr  0.0000  0.0000  0.0000  4 F 2.25, 2 O 2.46
Tc  0.5000  0.5000  0.5000  4 O 3.18, 8 F 3.33
O  0.0000  0.0000  0.5000  2 Sr 2.46
F  0.0000  0.5000  0.0000  2 Sr 2.25
F  0.5000  0.0000  0.0000  2 Sr 2.25

Calculated values
As for the energy relative to the lowest polymorph listed for this composition: 671 meV per atom. The space-group type is No. 123. As for the density: 4.00 Mg/m³. Its uncorrected formation energy is -1.170 eV per atom. The calculation puts the total energy at -26.60 eV per formula unit.

---

6.
Density functional theory data (PBE-GGA) for SrTeO3F after structural relaxation.

abc: 7.6071 7.6071 4.9758
angles: 104.86 104.86 114.78
Last column: nearest neighbours and their distance in Å.
Fractional coordinates of all 12 atoms:
Sr  0.1140  0.8860  0.7500  3 F 2.34-2.56
Sr  0.8860  0.1140  0.2500  3 F 2.34-2.56
Te  0.4240  0.5760  0.2500  5 O 1.89-2.08
Te  0.5760  0.4240  0.7500  5 O 1.89-2.08
O  0.2763  0.7237  0.2500  1 Te 1.89
O  0.3003  0.3876  0.4590  2 Te 2.04-2.08
O  0.3876  0.3003  0.9590  2 Te 2.04-2.08
O  0.6124  0.6997  0.0411  2 Te 2.04-2.08
O  0.6997  0.6124  0.5410  2 Te 2.04-2.08
O  0.7237  0.2763  0.7500  1 Te 1.89
F  0.0683  0.9317  0.2500  3 Sr 2.34-2.56
F  0.9317  0.0683  0.7500  3 Sr 2.34-2.56

Calculated values
The space-group type is No. 15. As for the density: 4.08 Mg/m³. Its uncorrected formation energy is -1.742 eV per atom. The calculation puts the total energy at -32.02 eV per formula unit.

---

7.
Density functional theory data (PBE-GGA) for SrTiO2F after structural relaxation.

abc: 4.5822 4.5822 4.3929
angles: 90.00 90.00 90.00
Last column: nearest neighbours and their distance in Å.
Fractional coordinates of all 5 atoms:
Sr  0.0000  0.0000  0.0000  2 F 2.20, 4 O 2.29
Ti  0.5000  0.5000  0.5000  8 O 3.17, 4 F 3.24
O  0.0000  0.5000  0.0000  2 Sr 2.29
O  0.5000  0.0000  0.0000  2 Sr 2.29
F  0.0000  0.0000  0.5000  2 Sr 2.20

Calculated values
The space-group type is No. 123. As for the density: 3.36 Mg/m³. Its uncorrected formation energy is -1.073 eV per atom. The calculation puts the total energy at -26.73 eV per formula unit.

---

8.
Density functional theory data (PBE-GGA) for SrTiO2F after structural relaxation.

abc: 4.0028 4.0028 4.0780
angles: 90.00 90.00 90.00
Last column: nearest neighbours and their distance in Å.
Fractional coordinates of all 5 atoms:
Sr  0.0000  0.0000  0.0000  4 F 2.83, 8 O 2.86
Ti  0.5000  0.5000  0.5000  4 O 2.00, 2 F 2.04
O  0.0000  0.5000  0.5000  2 Ti 2.00
O  0.5000  0.0000  0.5000  2 Ti 2.00
F  0.5000  0.5000  0.0000  2 Ti 2.04

Calculated values
The space-group type is No. 123. As for the density: 4.74 Mg/m³. Its uncorrected formation energy is -3.038 eV per atom. The calculation puts the total energy at -36.56 eV per formula unit.

---

Q: Number 5 is which compound?
A: SrTcOF2

---

Copy entry 2 word for word.
Density functional theory data (PBE-GGA) for SrTcO4F after structural relaxation.

abc: 6.4080 6.4080 7.4449
angles: 102.65 102.65 77.30
Last column: nearest neighbours and their distance in Å.
Fractional coordinates of all 14 atoms:
Sr  0.1902  0.1902  0.1213  2 F 2.32-2.33
Sr  0.8098  0.8098  0.8787  2 F 2.32-2.33
Tc  0.3523  0.3523  0.7309  4 O 1.73-1.75
Tc  0.6477  0.6477  0.2691  4 O 1.73-1.75
O  0.1301  0.4824  0.8388  1 Tc 1.75
O  0.2700  0.2700  0.4931  1 Tc 1.73
O  0.4690  0.4690  0.2342  1 Tc 1.73
O  0.4824  0.1301  0.8388  1 Tc 1.75
O  0.5176  0.8699  0.1612  1 Tc 1.75
O  0.5310  0.5310  0.7658  1 Tc 1.73
O  0.7300  0.7300  0.5069  1 Tc 1.73
O  0.8699  0.5176  0.1612  1 Tc 1.75
F  0.0281  0.0281  0.8269  2 Sr 2.32-2.33
F  0.9719  0.9719  0.1731  2 Sr 2.32-2.33

Calculated values
The space-group type is No. 12. As for the density: 3.12 Mg/m³. Its uncorrected formation energy is -2.205 eV per atom. The calculation puts the total energy at -49.19 eV per formula unit.

---

Copy entry 6 word for word.
Density functional theory data (PBE-GGA) for SrTeO3F after structural relaxation.

abc: 7.6071 7.6071 4.9758
angles: 104.86 104.86 114.78
Last column: nearest neighbours and their distance in Å.
Fractional coordinates of all 12 atoms:
Sr  0.1140  0.8860  0.7500  3 F 2.34-2.56
Sr  0.8860  0.1140  0.2500  3 F 2.34-2.56
Te  0.4240  0.5760  0.2500  5 O 1.89-2.08
Te  0.5760  0.4240  0.7500  5 O 1.89-2.08
O  0.2763  0.7237  0.2500  1 Te 1.89
O  0.3003  0.3876  0.4590  2 Te 2.04-2.08
O  0.3876  0.3003  0.9590  2 Te 2.04-2.08
O  0.6124  0.6997  0.0411  2 Te 2.04-2.08
O  0.6997  0.6124  0.5410  2 Te 2.04-2.08
O  0.7237  0.2763  0.7500  1 Te 1.89
F  0.0683  0.9317  0.2500  3 Sr 2.34-2.56
F  0.9317  0.0683  0.7500  3 Sr 2.34-2.56

Calculated values
The space-group type is No. 15. As for the density: 4.08 Mg/m³. Its uncorrected formation energy is -1.742 eV per atom. The calculation puts the total energy at -32.02 eV per formula unit.

---

Q: The highest uncorrected formation energy belongs to which entry?
A: number 7